PrSm2Er5: optimized geometry, PBE-GGA.

abc: 9.549 9.549 6.449
angles: 96.25 96.25 62.28
Element x y z (fractional)
Pr 0.000 0.500 0.000
Pr 0.500 0.000 0.500
Sm 0.171 0.678 0.888
Sm 0.322 0.829 0.612
Sm 0.678 0.171 0.388
Sm 0.829 0.322 0.112
Er 0.009 0.189 0.640
Er 0.189 0.009 0.140
Er 0.215 0.396 0.482
Er 0.396 0.215 0.982
Er 0.444 0.556 0.250
Er 0.556 0.444 0.750
Er 0.604 0.785 0.018
Er 0.785 0.604 0.518
Er 0.811 0.991 0.860
Er 0.991 0.811 0.360

formation energy	0.18	eV/atom
energy above the most stable polymorph in this dataset	158	meV per atom
density of states at the Fermi level	23.601	states/eV per cell


Pr4SmEr3: optimized geometry, PBE-GGA.

abc: 10.291 7.236 7.235
angles: 90.00 90.00 90.00
Element x y z (fractional)
Pr 0.000 0.000 0.000
Pr 0.000 0.500 0.500
Pr 0.250 0.249 0.250
Pr 0.250 0.751 0.750
Pr 0.500 0.000 0.500
Pr 0.500 0.500 0.000
Pr 0.750 0.249 0.250
Pr 0.750 0.751 0.750
Sm 0.000 0.500 0.000
Sm 0.500 0.500 0.500
Er 0.000 0.000 0.500
Er 0.250 0.248 0.750
Er 0.250 0.752 0.250
Er 0.500 0.000 0.000
Er 0.750 0.248 0.750
Er 0.750 0.752 0.250

formation energy	0.02	eV/atom
energy above the most stable polymorph in this dataset	0	meV per atom
density of states at the Fermi level	23.503	states/eV per cell


Pr2Sm3Er2: optimized geometry, PBE-GGA.

abc: 9.051 9.051 8.647
angles: 118.46 118.46 22.56
Element x y z (fractional)
Pr 0.066 0.066 0.219
Pr 0.934 0.934 0.781
Sm 0.288 0.288 0.372
Sm 0.500 0.500 0.500
Sm 0.712 0.712 0.628
Er 0.350 0.350 0.036
Er 0.650 0.650 0.964

formation energy	0.12	eV/atom
energy above the most stable polymorph in this dataset	104	meV per atom
density of states at the Fermi level	11.019	states/eV per cell


PrSm6Er4: optimized geometry, PBE-GGA.

abc: 5.643 5.643 25.816
angles: 90.00 90.00 117.86
Element x y z (fractional)
Pr 0.209 0.791 0.750
Pr 0.791 0.209 0.250
Sm 0.125 0.875 0.181
Sm 0.125 0.875 0.319
Sm 0.200 0.800 0.599
Sm 0.200 0.800 0.901
Sm 0.453 0.547 0.250
Sm 0.500 0.500 0.000
Sm 0.500 0.500 0.500
Sm 0.547 0.453 0.750
Sm 0.800 0.200 0.099
Sm 0.800 0.200 0.401
Sm 0.875 0.125 0.681
Sm 0.875 0.125 0.819
Er 0.151 0.849 0.043
Er 0.151 0.849 0.457
Er 0.458 0.542 0.123
Er 0.458 0.542 0.377
Er 0.542 0.458 0.623
Er 0.542 0.458 0.877
Er 0.849 0.151 0.543
Er 0.849 0.151 0.957

formation energy	0.12	eV/atom
energy above the most stable polymorph in this dataset	0	meV per atom
density of states at the Fermi level	39.291	states/eV per cell


Pr8SmEr3: optimized geometry, PBE-GGA.

abc: 6.743 8.629 8.909
angles: 106.14 111.63 106.00
Element x y z (fractional)
Pr 0.000 0.000 0.000
Pr 0.001 0.785 0.346
Pr 0.039 0.185 0.654
Pr 0.476 0.201 0.518
Pr 0.511 0.599 0.825
Pr 0.516 0.379 0.169
Pr 0.564 0.950 0.184
Pr 0.955 0.438 0.988
Sm 0.566 0.778 0.499
Er 0.084 0.382 0.365
Er 0.429 0.001 0.804
Er 0.946 0.603 0.666

formation energy	0.07	eV/atom
density of states at the Fermi level	17.187	states/eV per cell


Pr5SmEr3: optimized geometry, PBE-GGA.

abc: 10.640 10.640 11.702
angles: 120.72 120.72 34.56
Element x y z (fractional)
Pr 0.037 0.681 0.341
Pr 0.098 0.902 0.750
Pr 0.139 0.502 0.667
Pr 0.319 0.963 0.159
Pr 0.498 0.861 0.833
Pr 0.502 0.139 0.167
Pr 0.681 0.037 0.841
Pr 0.861 0.498 0.333
Pr 0.902 0.098 0.250
Pr 0.963 0.319 0.659
Sm 0.387 0.613 0.250
Sm 0.613 0.387 0.750
Er 0.099 0.549 0.973
Er 0.451 0.901 0.527
Er 0.500 0.500 0.000
Er 0.500 0.500 0.500
Er 0.549 0.099 0.473
Er 0.901 0.451 0.027

formation energy	0.27	eV/atom
energy above the most stable polymorph in this dataset	0	meV per atom
density of states at the Fermi level	26.228	states/eV per cell


PrSm4Er4: optimized geometry, PBE-GGA.

abc: 6.201 9.487 10.742
angles: 100.85 106.70 96.23
Element x y z (fractional)
Pr 0.250 0.084 0.304
Pr 0.750 0.916 0.696
Sm 0.249 0.748 0.082
Sm 0.250 0.749 0.751
Sm 0.251 0.085 0.641
Sm 0.252 0.418 0.529
Sm 0.748 0.582 0.471
Sm 0.749 0.915 0.359
Sm 0.750 0.251 0.249
Sm 0.751 0.252 0.918
Er 0.246 0.747 0.414
Er 0.250 0.419 0.192
Er 0.251 0.417 0.863
Er 0.252 0.085 0.973
Er 0.748 0.915 0.027
Er 0.749 0.583 0.137
Er 0.750 0.581 0.808
Er 0.754 0.253 0.586

formation energy	0.02	eV/atom
density of states at the Fermi level	24.959	states/eV per cell


Pr8SmEr2: optimized geometry, PBE-GGA.

abc: 9.559 9.559 9.559
angles: 145.01 128.02 64.20
Element x y z (fractional)
Pr 0.159 0.362 0.796
Pr 0.163 0.163 0.000
Pr 0.294 0.000 0.294
Pr 0.434 0.638 0.796
Pr 0.566 0.362 0.204
Pr 0.706 0.000 0.706
Pr 0.837 0.837 0.000
Pr 0.841 0.638 0.204
Sm 0.000 0.500 0.500
Er 0.300 0.800 0.500
Er 0.700 0.200 0.500

formation energy	0.11	eV/atom
energy above the most stable polymorph in this dataset	0	meV per atom
density of states at the Fermi level	15.881	states/eV per cell


Record-wise volume values, in Å³ per cell: 516.30, 538.77, 237.57, 726.81, 419.31, 634.78, 585.59, 389.87